# Be3CoF PBE with a Hubbard U relaxed
data_Be3CoF
_chemical_formula_sum 'Be3 Co1 F1'
_cell_length_a 3.9586
_cell_length_b 3.9586
_cell_length_c 3.9586
_cell_angle_alpha 90.00
_cell_angle_beta 90.00
_cell_angle_gamma 90.00
_space_group_name_H-M_alt 'P m -3 m'
_space_group_IT_number 221
_space_group_name_Hall '-P 4 2 3'
loop_
_atom_site_label
_atom_site_type_symbol
_atom_site_fract_x
_atom_site_fract_y
_atom_site_fract_z
_atom_site_occupancy
Be1 Be 0.0000 0.0000 0.5000 1
Co1 Co 0.0000 0.0000 0.0000 1
F1 F 0.5000 0.5000 0.5000 1
# ΔE to the lowest computed polymorph (meV/atom): 730
# Magnetic moment (μB/f.u.): 0.000
# ρ (g/cm3): 2.81